# HoPuPt, optimized geometry, DFT PBE
data_HoPuPt
_cell_length_a 6.870
_cell_length_b 6.870
_cell_length_c 6.870
_cell_angle_alpha 90.00
_cell_angle_beta 90.00
_cell_angle_gamma 90.00
_space_group_name_H-M_alt 'F -4 3 m'
_space_group_IT_number 216
_space_group_name_Hall 'F -4 2 3'
loop_
_atom_site_label
_atom_site_type_symbol
_atom_site_fract_x
_atom_site_fract_y
_atom_site_fract_z
_atom_site_occupancy
Ho1 Ho 0.000 0.000 0.000 1
Pu1 Pu 0.000 0.000 0.500 1
Pt1 Pt 0.250 0.250 0.750 1
# ΔH_f (0 K) in eV per atom: -0.60
# Energy above the lowest structure with this stoichiometry in meV/atom: 0
# Total DFT energy (no corrections) in eV/cell: -107.03